(1)
DFT (PBE) results for a relaxed structure of InSn2I2.

DOS at the Fermi energy, states/eV per cell: 6.71

Structure (POSCAR):
```
InSn2I2
1.0
8.007 0.000 0.000
0.000 8.007 0.000
0.000 0.000 5.285
In Sn I
2 4 4
Direct
0.000 0.000 0.000
0.500 0.500 0.000
0.143 0.357 0.000
0.357 0.857 0.000
0.643 0.143 0.000
0.857 0.643 0.000
0.187 0.687 0.500
0.313 0.187 0.500
0.687 0.813 0.500
0.813 0.313 0.500
```



(2)
DFT (PBE) results for a relaxed structure of In2SnI4.

Energy above the lowest structure with this stoichiometry, eV per atom: 0.074

Structure (POSCAR):
```
In2SnI4
1.0
-3.131 3.131 8.410
3.131 -3.131 8.410
3.131 3.131 -8.410
In Sn I
2 1 4
Direct
0.127 0.127 0.000
0.873 0.873 0.000
0.500 0.500 0.000
0.000 0.500 0.500
0.314 0.314 0.000
0.500 0.000 0.500
0.686 0.686 0.000
```



(3)
DFT (PBE) results for a relaxed structure of InSn2I4.

DOS at the Fermi energy, states/eV per cell: 1.22

Structure (POSCAR):
```
InSn2I4
1.0
9.035 0.000 0.000
0.107 9.223 0.000
2.692 4.463 7.713
In Sn I
2 4 8
Direct
0.000 0.000 0.000
0.027 0.686 0.346
0.014 0.341 0.672
0.514 0.338 0.675
0.514 0.339 0.175
0.514 0.838 0.175
0.293 0.624 0.584
0.297 0.150 0.573
0.300 0.138 0.083
0.315 0.642 0.072
0.712 0.038 0.279
0.728 0.539 0.268
0.730 0.528 0.776
0.734 0.051 0.768
```



(4)
DFT (PBE) results for a relaxed structure of In3SnI.

DOS at the Fermi energy, states/eV per cell: 2.82
Energy above the lowest structure with this stoichiometry, eV per atom: 0.000

Structure (POSCAR):
```
In3SnI
1.0
5.910 0.000 0.000
0.000 5.910 0.000
0.000 0.000 5.910
In Sn I
3 1 1
Direct
0.000 0.000 0.500
0.000 0.500 0.000
0.500 0.000 0.000
0.000 0.000 0.000
0.500 0.500 0.500
```



(5)
DFT (PBE) results for a relaxed structure of InSn2I.

DOS at the Fermi energy, states/eV per cell: 1.90
Energy above the lowest structure with this stoichiometry, eV per atom: 0.000

Structure (POSCAR):
```
InSn2I
1.0
1.728 0.998 11.907
-1.728 0.998 11.907
0.000 -1.995 11.907
In Sn I
1 2 1
Direct
0.000 0.000 0.000
0.409 0.409 0.409
0.591 0.591 0.591
0.500 0.500 0.500
```



(6)
DFT (PBE) results for a relaxed structure of InSnI3.

DOS at the Fermi energy, states/eV per cell: 0.00

Structure (POSCAR):
```
InSnI3
1.0
8.247 0.000 0.000
0.000 6.423 0.000
-3.911 0.000 9.967
In Sn I
2 2 6
Direct
0.211 0.250 0.384
0.789 0.750 0.616
0.477 0.750 0.152
0.523 0.250 0.848
0.156 0.250 0.685
0.367 0.750 0.396
0.426 0.250 0.128
0.574 0.750 0.872
0.633 0.250 0.604
0.844 0.750 0.315
```



| no. | raw formation energy (meV/atom) | total moment (μB/f.u.) |
| --- | --- | --- |
| 1 | -87 | 0.0 |
| 2 | -401 | 0.0 |
| 3 | -365 | 0.0 |
| 4 | 142 | 0.0 |
| 5 | 94 | 0.0 |
| 6 | -442 | 0.0 |